i | The following is a DFT calculation (PBE-GGA) of a geometry-optimized TePCl2 structure.

a b c (Å): 8.4656 8.4656 3.9347
angles (deg): 100.91 100.91 26.91
Positions (direct):
Te 0.0000 0.0000 0.0000
P 0.5000 0.5000 0.5000
Cl 0.1525 0.1525 0.1865
Cl 0.8475 0.8475 0.8135

ii | The following is a DFT calculation (PBE-GGA) of a geometry-optimized TePCl2 structure.

a b c (Å): 10.4701 10.4701 10.4701
angles (deg): 18.00 18.00 18.00
Positions (direct):
Te 0.0000 0.0000 0.0000
P 0.5000 0.5000 0.5000
Cl 0.1063 0.1063 0.1063
Cl 0.8937 0.8937 0.8937

The winner here is i, beating the second structure by 286 meV/atom.

i | The following is a DFT calculation (PBE-GGA) of a geometry-optimized TePCl2 structure.

a b c (Å): 4.4216 4.4216 4.6194
angles (deg): 90.00 90.00 90.18
Positions (direct):
Te 0.0000 0.0000 0.0000
P 0.5000 0.5000 0.0000
Cl 0.2593 0.7407 0.5000
Cl 0.7407 0.2593 0.5000

ii | The following is a DFT calculation (PBE-GGA) of a geometry-optimized TePCl2 structure.

a b c (Å): 9.0782 9.0782 9.0782
angles (deg): 23.87 23.87 23.87
Positions (direct):
Te 0.0000 0.0000 0.0000
P 0.2758 0.2758 0.2758
Cl 0.5458 0.5458 0.5458
Cl 0.7444 0.7444 0.7444

iii | The following is a DFT calculation (PBE-GGA) of a geometry-optimized TePCl2 structure.

a b c (Å): 5.4258 5.4258 3.1037
angles (deg): 90.00 90.00 111.91
Positions (direct):
Te 0.0000 0.0000 0.0000
P 0.5000 0.5000 0.0000
Cl 0.0000 0.5000 0.5000
Cl 0.5000 0.0000 0.5000

iv | The following is a DFT calculation (PBE-GGA) of a geometry-optimized TePCl2 structure.

a b c (Å): 10.2245 10.2245 10.2245
angles (deg): 18.47 18.47 18.47
Positions (direct):
Te 0.0000 0.0000 0.0000
P 0.5000 0.5000 0.5000
Cl 0.2269 0.2269 0.2269
Cl 0.7731 0.7731 0.7731

The winner here is ii, beating the second structure by 340 meV/atom.

i | The following is a DFT calculation (PBE-GGA) of a geometry-optimized TePCl2 structure.

a b c (Å): 4.9920 4.9920 8.8734
angles (deg): 90.00 90.00 138.59
Positions (direct):
Te 0.0000 0.0000 0.0000
P 0.5000 0.5000 0.1971
Cl 0.0000 0.0000 0.4091
Cl 0.5000 0.5000 0.7505

ii | The following is a DFT calculation (PBE-GGA) of a geometry-optimized TePCl2 structure.

a b c (Å): 7.3303 7.3303 7.3303
angles (deg): 151.67 143.72 46.66
Positions (direct):
Te 0.0000 0.0000 0.0000
P 0.1345 0.6345 0.5000
Cl 0.4295 0.4295 0.0000
Cl 0.6769 0.1769 0.5000

The winner here is ii, beating the second structure by 99 meV/atom.

i | The following is a DFT calculation (PBE-GGA) of a geometry-optimized TePCl2 structure.

a b c (Å): 3.1124 4.4935 6.0643
angles (deg): 90.00 90.00 90.00
Positions (direct):
Te 0.0000 0.0000 0.0000
P 0.0000 0.0000 0.5000
Cl 0.5000 0.5000 0.2545
Cl 0.5000 0.5000 0.7455

ii | The following is a DFT calculation (PBE-GGA) of a geometry-optimized TePCl2 structure.

a b c (Å): 5.7181 5.7181 7.7006
angles (deg): 95.83 95.83 37.21
Positions (direct):
Te 0.0000 0.0000 0.0000
P 0.5881 0.5881 0.2079
Cl 0.3337 0.3337 0.8137
Cl 0.4987 0.4987 0.4291

iii | The following is a DFT calculation (PBE-GGA) of a geometry-optimized TePCl2 structure.

a b c (Å): 4.8635 4.8635 4.8635
angles (deg): 60.00 60.00 60.00
Positions (direct):
Te 0.0000 0.0000 0.0000
P 0.7500 0.7500 0.7500
Cl 0.2500 0.2500 0.2500
Cl 0.5000 0.5000 0.5000

iv | The following is a DFT calculation (PBE-GGA) of a geometry-optimized TePCl2 structure.

a b c (Å): 7.2492 7.2492 7.2492
angles (deg): 154.73 132.39 54.65
Positions (direct):
Te 0.0000 0.0000 0.0000
P 0.5000 0.5000 0.0000
Cl 0.3582 0.8582 0.5000
Cl 0.6418 0.1418 0.5000

The winner here is ii, beating the second structure by 323 meV/atom.

i | The following is a DFT calculation (PBE-GGA) of a geometry-optimized TePCl2 structure.

a b c (Å): 3.0769 3.0769 11.0469
angles (deg): 90.00 90.00 90.00
Positions (direct):
Te 0.0000 0.0000 0.0000
P 0.0000 0.0000 0.5000
Cl 0.5000 0.5000 0.3532
Cl 0.5000 0.5000 0.6468

ii | The following is a DFT calculation (PBE-GGA) of a geometry-optimized TePCl2 structure.

a b c (Å): 5.4559 5.4559 5.4559
angles (deg): 133.58 133.58 67.75
Positions (direct):
Te 0.0000 0.0000 0.0000
P 0.5000 0.5000 0.0000
Cl 0.2500 0.7500 0.5000
Cl 0.7500 0.2500 0.5000

iii | The following is a DFT calculation (PBE-GGA) of a geometry-optimized TePCl2 structure.

a b c (Å): 4.1043 4.0364 7.3759
angles (deg): 90.00 90.09 90.00
Positions (direct):
Te 0.0000 0.0000 0.0000
P 0.5000 0.5000 0.9867
Cl 0.9996 0.0000 0.6781
Cl 0.5014 0.5000 0.2707

The winner here is iii, beating the second structure by 582 meV/atom.

i | The following is a DFT calculation (PBE-GGA) of a geometry-optimized TePCl2 structure.

a b c (Å): 3.2491 4.6233 5.7389
angles (deg): 90.00 90.00 90.00
Positions (direct):
Te 0.0000 0.0000 0.0000
P 0.5000 0.0000 0.5000
Cl 0.0000 0.5000 0.5000
Cl 0.5000 0.5000 0.0000

ii | The following is a DFT calculation (PBE-GGA) of a geometry-optimized TePCl2 structure.

a b c (Å): 10.5896 10.5896 10.5896
angles (deg): 17.67 17.67 17.67
Positions (direct):
Te 0.0000 0.0000 0.0000
P 0.5000 0.5000 0.5000
Cl 0.4310 0.4310 0.4310
Cl 0.5690 0.5690 0.5690

iii | The following is a DFT calculation (PBE-GGA) of a geometry-optimized TePCl2 structure.

a b c (Å): 3.4012 3.4012 12.0431
angles (deg): 90.00 90.00 123.42
Positions (direct):
Te 0.0000 0.0000 0.0000
P 0.0000 0.0000 0.5000
Cl 0.5000 0.5000 0.3531
Cl 0.5000 0.5000 0.6469

iv | The following is a DFT calculation (PBE-GGA) of a geometry-optimized TePCl2 structure.

a b c (Å): 7.5831 7.5831 7.5831
angles (deg): 120.59 120.59 88.99
Positions (direct):
Te 0.3750 0.6250 0.7500
Te 0.6250 0.3750 0.2500
P 0.1250 0.8750 0.2500
P 0.8750 0.1250 0.7500
Cl 0.0000 0.0000 0.0000
Cl 0.0000 0.0000 0.5000
Cl 0.0000 0.5000 0.0000
Cl 0.5000 0.0000 0.5000

The winner here is iii, beating the second structure by 26 meV/atom.

i | The following is a DFT calculation (PBE-GGA) of a geometry-optimized Te2P2Cl structure.

a b c (Å): 6.8667 6.8667 6.8667
angles (deg): 139.25 139.25 58.99
Positions (direct):
Te 0.1553 0.1553 0.0000
Te 0.8447 0.8447 0.0000
P 0.2500 0.7500 0.5000
P 0.7500 0.2500 0.5000
Cl 0.5000 0.5000 0.0000

ii | The following is a DFT calculation (PBE-GGA) of a geometry-optimized Te2P2Cl structure.

a b c (Å): 8.5425 8.5425 3.4463
angles (deg): 90.00 90.00 90.00
Positions (direct):
Te 0.1591 0.3409 0.0000
Te 0.3409 0.8409 0.0000
Te 0.6591 0.1591 0.0000
Te 0.8409 0.6591 0.0000
P 0.0908 0.5908 0.5000
P 0.4092 0.0908 0.5000
P 0.5908 0.9092 0.5000
P 0.9092 0.4092 0.5000
Cl 0.0000 0.0000 0.0000
Cl 0.5000 0.5000 0.0000

The winner here is i, beating the second structure by 73 meV/atom.

i | The following is a DFT calculation (PBE-GGA) of a geometry-optimized TiTePCl2 structure.

a b c (Å): 5.0884 5.0884 5.5017
angles (deg): 90.00 90.00 90.00
Positions (direct):
Ti 0.0000 0.0000 0.0000
Te 0.5000 0.5000 0.5000
P 0.5000 0.5000 0.0000
Cl 0.0000 0.5000 0.5000
Cl 0.5000 0.0000 0.5000

ii | The following is a DFT calculation (PBE-GGA) of a geometry-optimized TiTePCl2 structure.

a b c (Å): 4.5797 4.5797 5.4374
angles (deg): 90.00 90.00 90.00
Positions (direct):
Ti 0.0000 0.0000 0.0000
Te 0.5000 0.5000 0.5000
P 0.0000 0.0000 0.5000
Cl 0.0000 0.5000 0.0000
Cl 0.5000 0.0000 0.0000

The winner here is ii, beating the second structure by 1122 meV/atom.

i | The following is a DFT calculation (PBE-GGA) of a geometry-optimized TlTePCl2 structure.

a b c (Å): 5.6808 5.6808 4.9523
angles (deg): 90.00 90.00 90.00
Positions (direct):
Tl 0.0000 0.0000 0.0000
Te 0.5000 0.5000 0.5000
P 0.5000 0.5000 0.0000
Cl 0.0000 0.5000 0.5000
Cl 0.5000 0.0000 0.5000

ii | The following is a DFT calculation (PBE-GGA) of a geometry-optimized TlTePCl2 structure.

a b c (Å): 5.1551 5.1551 5.6179
angles (deg): 90.00 90.00 90.00
Positions (direct):
Tl 0.0000 0.0000 0.0000
Te 0.5000 0.5000 0.5000
P 0.0000 0.0000 0.5000
Cl 0.0000 0.5000 0.0000
Cl 0.5000 0.0000 0.0000

The winner here is i, beating the second structure by 439 meV/atom.

i | The following is a DFT calculation (PBE-GGA) of a geometry-optimized VTeP2Cl structure.

a b c (Å): 4.7940 4.7940 4.4539
angles (deg): 90.00 90.00 90.00
Positions (direct):
V 0.0000 0.0000 0.0000
Te 0.5000 0.5000 0.5000
P 0.0000 0.5000 0.0000
P 0.5000 0.0000 0.0000
Cl 0.0000 0.0000 0.5000

ii | The following is a DFT calculation (PBE-GGA) of a geometry-optimized VTeP2Cl structure.

a b c (Å): 5.0718 5.0718 5.0332
angles (deg): 90.00 90.00 90.00
Positions (direct):
V 0.0000 0.0000 0.0000
Te 0.5000 0.5000 0.5000
P 0.0000 0.5000 0.5000
P 0.5000 0.0000 0.5000
Cl 0.5000 0.5000 0.0000

The winner here is i, beating the second structure by 1219 meV/atom.

i | The following is a DFT calculation (PBE-GGA) of a geometry-optimized TePWCl2 structure.

a b c (Å): 5.0568 5.0568 5.4834
angles (deg): 90.00 90.00 90.00
Positions (direct):
Te 0.0000 0.0000 0.0000
P 0.0000 0.0000 0.5000
W 0.5000 0.5000 0.5000
Cl 0.0000 0.5000 0.0000
Cl 0.5000 0.0000 0.0000

ii | The following is a DFT calculation (PBE-GGA) of a geometry-optimized TePWCl2 structure.

a b c (Å): 4.6365 4.6365 5.1302
angles (deg): 90.00 90.00 90.00
Positions (direct):
Te 0.0000 0.0000 0.0000
P 0.5000 0.5000 0.0000
W 0.5000 0.5000 0.5000
Cl 0.0000 0.5000 0.5000
Cl 0.5000 0.0000 0.5000

The winner here is ii, beating the second structure by 1082 meV/atom.